(1)
Density functional theory data (GGA-PBEsol) for a geometry-optimized ReRhW2 structure.

The calculation puts the formation energy from the elements at 0.0870 eV per atom. The total moment comes out at 0.00 μB/f.u. Its excess energy over the best structure of this formula in the dataset is 0.0797 eV/atom. The density of states at the Fermi level is 6.91 states/eV per cell. As for the theoretical density: 18.33 g cm⁻³.

The space group is C2/m (No. 12) and the conventional cell measures 9.1291, 2.7344 and 4.8328 Å, with angles of 90.00, 99.43 and 90.00 degrees. The distinct sites, in fractional coordinates, are Re at (0.0000, 0.0000, 0.0000), Rh at (0.0000, 0.5000, 0.5000) and W at (0.2455, 0.0000, 0.7467).


(2)
Density functional theory data (GGA-PBEsol) for a geometry-optimized ReRhW2 structure.

The calculation puts the formation energy from the elements at 0.0073 eV per atom. The total moment comes out at 0.00 μB/f.u. Its excess energy over the best structure of this formula in the dataset is 0.0000 eV/atom. The density of states at the Fermi level is 5.15 states/eV per cell. As for the theoretical density: 18.36 g cm⁻³.

The space group is Cmmm (No. 65) and the conventional cell measures 5.5545, 7.7950 and 2.7444 Å, with angles of 90.00, 90.00 and 90.00 degrees. The distinct sites, in fractional coordinates, are Re at (0.0000, 0.0000, 0.0000), Rh at (0.0000, 0.5000, 0.0000) and W at (0.2500, 0.2500, 0.5000).